Here is crystalline SrTbSnAu at its relaxed geometry from Alexandria. Energies are from PBE-GGA.

Values from the calculation:
Calculated volume   446.3 Å³/cell
Total magnetization   0.000 μB/atom
ΔH_f (0 K)   -679 meV per atom

abc: 7.6418 7.6418 7.6418
angles: 90.00 90.00 90.00
Closest atoms and distances in Å follow each position.
Space group F-43m (No. 216)
Asymmetric unit:
Sr (0.0000, 0.0000, 0.0000) (multiplicity 4)  4 Sn 3.31, 4 Au 3.31
Tb (0.0000, 0.0000, 0.5000) (multiplicity 4)  4 Au 3.31, 4 Sn 3.31
Sn (0.2500, 0.2500, 0.2500) (multiplicity 4)  4 Tb 3.31, 4 Sr 3.31
Au (0.2500, 0.2500, 0.7500) (multiplicity 4)  4 Tb 3.31, 4 Sr 3.31

=====

Here is crystalline SrThSnAu at its relaxed geometry from Alexandria. Energies are from PBE-GGA.

Values from the calculation:
Calculated volume   461.8 Å³/cell
Total magnetization   0.000 μB/atom
ΔH_f (0 K)   -487 meV per atom

abc: 7.7294 7.7294 7.7294
angles: 90.00 90.00 90.00
Closest atoms and distances in Å follow each position.
Space group F-43m (No. 216)
Asymmetric unit:
Sr (0.0000, 0.0000, 0.0000) (multiplicity 4)  4 Sn 3.35, 4 Au 3.35
Th (0.0000, 0.0000, 0.5000) (multiplicity 4)  4 Sn 3.35, 4 Au 3.35
Sn (0.2500, 0.2500, 0.7500) (multiplicity 4)  4 Th 3.35, 4 Sr 3.35
Au (0.2500, 0.2500, 0.2500) (multiplicity 4)  4 Th 3.35, 4 Sr 3.35

=====

Here is crystalline Sr2TlSnAu6 at its relaxed geometry from Alexandria. Energies are from PBE-GGA.

Values from the calculation:
Calculated volume   1180.8 Å³/cell
Total magnetization   0.000 μB/atom
ΔH_f (0 K)   -172 meV per atom

abc: 10.5696 10.5696 10.5696
angles: 90.00 90.00 90.00
Closest atoms and distances in Å follow each position.
Space group Fm-3m (No. 225)
Asymmetric unit:
Sr (0.2500, 0.2500, 0.2500) (multiplicity 8)  12 Au 3.74
Tl (0.0000, 0.0000, 0.0000) (multiplicity 4)  6 Au 2.67
Sn (0.0000, 0.0000, 0.5000) (multiplicity 4)  6 Au 2.62
Au (0.0000, 0.0000, 0.2525) (multiplicity 24)  1 Sn 2.62, 1 Tl 2.67

=====

Here is crystalline SrZnSn2Au at its relaxed geometry from Alexandria. Energies are from PBE-GGA.

Values from the calculation:
Calculated volume   257.9 Å³/cell
Total magnetization   0.000 μB/atom
ΔH_f (0 K)   -427 meV per atom
Offset from the most stable computed form   0 meV per atom

abc: 4.7310 4.7310 11.5201
angles: 90.00 90.00 90.00
Closest atoms and distances in Å follow each position.
Space group I-4m2 (No. 119)
Asymmetric unit:
Sr (0.0000, 0.0000, 0.0000) (multiplicity 2)  8 Sn 3.64, 4 Zn 3.73, 4 Au 3.73
Zn (0.0000, 0.5000, 0.7500) (multiplicity 2)  4 Sn 2.77
Sn (0.0000, 0.0000, 0.3758) (multiplicity 4)  2 Zn 2.77, 2 Au 2.77, 1 Sn 2.86
Au (0.0000, 0.5000, 0.2500) (multiplicity 2)  4 Sn 2.77

=====

Here is crystalline SrZnSn2Au5 at its relaxed geometry from Alexandria. Energies are from PBE-GGA.

Values from the calculation:
Calculated volume   438.3 Å³/cell
Total magnetization   0.000 μB/atom
ΔH_f (0 K)   -249 meV per atom

abc: 4.9630 6.0489 14.6000
angles: 90.00 90.00 90.00
Closest atoms and distances in Å follow each position.
Space group Immm (No. 71)
Asymmetric unit:
Sr (0.0000, 0.0000, 0.0000) (multiplicity 2)  2 Au 3.02
Zn (0.0000, 0.0000, 0.5000) (multiplicity 2)  6 Au 2.48-2.64
Sn (0.0000, 0.5000, 0.1910) (multiplicity 4)  7 Au 2.79-3.02
Au (0.0000, 0.2607, 0.3550) (multiplicity 8)  1 Zn 2.64, 1 Sn 2.80, 1 Au 2.90
Au (0.0000, 0.5000, 0.0000) (multiplicity 2)  2 Zn 2.48

=====

Here is crystalline Sr2Zn4SnAu3 at its relaxed geometry from Alexandria. Energies are from PBE-GGA.

Values from the calculation:
Calculated volume   224.3 Å³/cell
Total magnetization   0.000 μB/atom
ΔH_f (0 K)   -482 meV per atom

abc: 4.4366 4.4366 11.3953
angles: 90.00 90.00 90.00
Closest atoms and distances in Å follow each position.
Space group P-4m2 (No. 115)
Asymmetric unit:
Sr (0.0000, 0.5000, 0.2419) (multiplicity 2)  6 Au 3.39-3.68, 8 Zn 3.39-3.54, 2 Sn 3.68
Zn (0.0000, 0.0000, 0.0000) (multiplicity 1)  4 Au 2.66
Zn (0.0000, 0.5000, 0.6446) (multiplicity 2)  3 Au 2.58-2.76, 2 Sn 2.76
Zn (0.5000, 0.5000, 0.0000) (multiplicity 1)  4 Au 2.66
Sn (0.0000, 0.0000, 0.5000) (multiplicity 1)  4 Zn 2.76
Au (0.0000, 0.5000, 0.8712) (multiplicity 2)  5 Zn 2.58-2.66
Au (0.5000, 0.5000, 0.5000) (multiplicity 1)  4 Zn 2.76

=====

What is the ΔH_f (0 K) in the third record?
-172 meV per atom